1.
NaMg2InPd: optimized geometry, PBE.

a = 5.081 Å, b = 5.081 Å, c = 5.168 Å
α = 90.00°, β = 90.00°, γ = 90.00°
Positions (direct):
Na 0.000 0.000 0.000
Mg 0.000 0.500 0.500
Mg 0.500 0.000 0.500
In 0.500 0.500 0.000
Pd 0.500 0.500 0.500

Electronic total energy ... -2.71 eV/atom
ΔH_f (0 K) ... -0.217 eV per atom



2.
Li2TaFe: optimized geometry, PBE.

a = 4.235 Å, b = 4.235 Å, c = 4.235 Å
α = 120.14°, β = 120.14°, γ = 89.76°
Positions (direct):
Li 0.000 0.000 0.000
Li 0.750 0.250 0.500
Ta 0.250 0.750 0.500
Fe 0.500 0.500 0.000

Electronic total energy ... -5.62 eV/atom
Energy above the lowest structure with this stoichiometry ... 360 meV/atom
ΔH_f (0 K) ... 0.420 eV per atom



3.
Ac3Tl2I2: optimized geometry, PBE.

a = 4.745 Å, b = 6.497 Å, c = 10.390 Å
α = 72.06°, β = 89.93°, γ = 68.59°
Positions (direct):
Ac 0.000 0.000 0.000
Ac 0.209 0.584 0.717
Ac 0.791 0.416 0.283
Tl 0.330 0.339 0.075
Tl 0.670 0.661 0.925
I 0.101 0.796 0.360
I 0.899 0.204 0.640

Electronic total energy ... -3.57 eV/atom
Energy relative to the elements, uncorrected ... -686 meV/atom



4.
LiCaZnSn2: optimized geometry, PBE.

a = 6.781 Å, b = 6.781 Å, c = 6.781 Å
α = 141.68°, β = 141.68°, γ = 55.31°
Positions (direct):
Li 0.000 0.000 0.000
Ca 0.250 0.750 0.500
Zn 0.500 0.500 0.000
Sn 0.632 0.132 0.500
Sn 0.868 0.368 0.500

Electronic total energy ... -3.04 eV/atom
ΔH_f (0 K) ... -0.399 eV per atom



5.
Rb2In3Au2: optimized geometry, PBE.

a = 7.006 Å, b = 7.006 Å, c = 8.499 Å
α = 121.52°, β = 121.52°, γ = 39.83°
Positions (direct):
Rb 0.139 0.139 0.273
Rb 0.861 0.861 0.727
In 0.350 0.350 0.066
In 0.500 0.500 0.500
In 0.650 0.650 0.934
Au 0.122 0.122 0.709
Au 0.878 0.878 0.291

Electronic total energy ... -2.63 eV/atom
ΔH_f (0 K) ... -0.241 eV per atom



6.
NpPd2Pt8: optimized geometry, PBE.

a = 7.556 Å, b = 7.556 Å, c = 7.556 Å
α = 150.10°, β = 116.85°, γ = 71.42°
Positions (direct):
Np 0.000 0.000 0.000
Pd 0.336 0.336 0.000
Pd 0.664 0.664 0.000
Pt 0.086 0.834 0.252
Pt 0.166 0.666 0.500
Pt 0.269 0.500 0.769
Pt 0.419 0.166 0.252
Pt 0.581 0.834 0.748
Pt 0.731 0.500 0.231
Pt 0.834 0.334 0.500
Pt 0.914 0.166 0.748

Electronic total energy ... -6.69 eV/atom
ΔH_f (0 K) ... -0.177 eV per atom



7.
ReRu3Br: optimized geometry, PBE.

a = 4.482 Å, b = 4.482 Å, c = 4.482 Å
α = 90.00°, β = 90.00°, γ = 90.00°
Positions (direct):
Re 0.000 0.000 0.000
Ru 0.000 0.500 0.500
Ru 0.500 0.000 0.500
Ru 0.500 0.500 0.000
Br 0.500 0.500 0.500

Electronic total energy ... -6.34 eV/atom
Energy above the lowest structure with this stoichiometry ... 295 meV/atom
Energy relative to the elements, uncorrected ... 2048 meV/atom



8.
UTcOs2: optimized geometry, PBE.

a = 4.040 Å, b = 4.040 Å, c = 4.016 Å
α = 90.00°, β = 90.00°, γ = 90.00°
Positions (direct):
U 0.000 0.000 0.000
Tc 0.500 0.500 0.000
Os 0.000 0.500 0.500
Os 0.500 0.000 0.500

Electronic total energy ... -11.14 eV/atom
Energy above the lowest structure with this stoichiometry ... 0 meV/atom
ΔH_f (0 K) ... -0.111 eV per atom



9.
CeCdIrAu: optimized geometry, PBE.

a = 4.898 Å, b = 4.898 Å, c = 4.898 Å
α = 60.00°, β = 60.00°, γ = 60.00°
Positions (direct):
Ce 0.000 0.000 0.000
Cd 0.500 0.500 0.500
Ir 0.750 0.750 0.750
Au 0.250 0.250 0.250

Electronic total energy ... -5.13 eV/atom
ΔH_f (0 K) ... -0.386 eV per atom



10.
KCaMnTl2: optimized geometry, PBE.

a = 5.336 Å, b = 5.336 Å, c = 5.433 Å
α = 90.00°, β = 90.00°, γ = 90.00°
Positions (direct):
K 0.000 0.000 0.000
Ca 0.500 0.500 0.000
Mn 0.500 0.500 0.500
Tl 0.000 0.500 0.500
Tl 0.500 0.000 0.500

Electronic total energy ... -3.21 eV/atom
ΔH_f (0 K) ... 0.193 eV per atom



11.
Li2PbF4: optimized geometry, PBE.

a = 6.374 Å, b = 6.374 Å, c = 6.374 Å
α = 103.98°, β = 103.98°, γ = 121.11°
Positions (direct):
Li 0.375 0.197 0.322
Li 0.803 0.125 0.178
Li 0.875 0.053 0.678
Li 0.947 0.625 0.822
Pb 0.250 0.750 0.500
Pb 0.500 0.500 0.000
F 0.056 0.810 0.155
F 0.095 0.440 0.746
F 0.099 0.944 0.754
F 0.190 0.345 0.246
F 0.560 0.306 0.655
F 0.651 0.905 0.345
F 0.655 0.901 0.845
F 0.694 0.349 0.254

Electronic total energy ... -4.79 eV/atom
Energy above the lowest structure with this stoichiometry ... 0 meV/atom
Energy relative to the elements, uncorrected ... -2648 meV/atom



12.
Sc3AgN: optimized geometry, PBE.

a = 8.117 Å, b = 8.117 Å, c = 6.650 Å
α = 100.32°, β = 100.32°, γ = 85.85°
Positions (direct):
Sc 0.005 0.742 0.859
Sc 0.119 0.625 0.361
Sc 0.258 0.995 0.641
Sc 0.314 0.384 0.963
Sc 0.375 0.881 0.139
Sc 0.384 0.314 0.463
Sc 0.616 0.686 0.537
Sc 0.625 0.119 0.861
Sc 0.686 0.616 0.037
Sc 0.742 0.005 0.359
Sc 0.881 0.375 0.639
Sc 0.995 0.258 0.141
Ag 0.054 0.946 0.250
Ag 0.340 0.660 0.750
Ag 0.660 0.340 0.250
Ag 0.946 0.054 0.750
N 0.201 0.399 0.228
N 0.399 0.201 0.728
N 0.601 0.799 0.272
N 0.799 0.601 0.772

Electronic total energy ... -6.65 eV/atom
Energy above the lowest structure with this stoichiometry ... 306 meV/atom
Energy relative to the elements, uncorrected ... -614 meV/atom



13.
Co2TeRu2: optimized geometry, PBE.

a = 7.104 Å, b = 7.104 Å, c = 7.104 Å
α = 152.55°, β = 152.55°, γ = 39.21°
Positions (direct):
Co 0.250 0.750 0.500
Co 0.750 0.250 0.500
Te 0.000 0.000 0.000
Ru 0.392 0.392 0.000
Ru 0.608 0.608 0.000

Electronic total energy ... -6.76 eV/atom
Energy relative to the elements, uncorrected ... 423 meV/atom



14.
ErTmPuMg: optimized geometry, PBE.

a = 5.405 Å, b = 5.405 Å, c = 5.405 Å
α = 60.00°, β = 60.00°, γ = 60.00°
Positions (direct):
Er 0.000 0.000 0.000
Tm 0.500 0.500 0.500
Pu 0.250 0.250 0.250
Mg 0.750 0.750 0.750

Electronic total energy ... -6.09 eV/atom
ΔH_f (0 K) ... 0.146 eV per atom



15.
Ho3Zn4Cu2: optimized geometry, PBE.

a = 5.645 Å, b = 5.645 Å, c = 8.392 Å
α = 111.89°, β = 111.89°, γ = 45.45°
Positions (direct):
Ho 0.000 0.000 0.000
Ho 0.325 0.325 0.345
Ho 0.675 0.675 0.655
Zn 0.040 0.040 0.375
Zn 0.277 0.277 0.941
Zn 0.723 0.723 0.059
Zn 0.960 0.960 0.625
Cu 0.400 0.400 0.732
Cu 0.600 0.600 0.268

Electronic total energy ... -3.33 eV/atom
ΔH_f (0 K) ... -0.332 eV per atom



16.
Ag2P2Rh: optimized geometry, PBE.

a = 5.951 Å, b = 5.951 Å, c = 4.733 Å
α = 90.00°, β = 90.00°, γ = 90.00°
Positions (direct):
Ag 0.237 0.263 0.000
Ag 0.263 0.763 0.000
Ag 0.737 0.237 0.000
Ag 0.763 0.737 0.000
P 0.130 0.370 0.500
P 0.370 0.870 0.500
P 0.630 0.130 0.500
P 0.870 0.630 0.500
Rh 0.000 0.000 0.500
Rh 0.500 0.500 0.500

Electronic total energy ... -4.97 eV/atom
ΔH_f (0 K) ... -0.195 eV per atom



17.
Zn2AgCl: optimized geometry, PBE.

a = 8.017 Å, b = 8.017 Å, c = 8.017 Å
α = 23.84°, β = 23.84°, γ = 23.84°
Positions (direct):
Zn 0.250 0.250 0.250
Zn 0.750 0.750 0.750
Ag 0.000 0.000 0.000
Cl 0.500 0.500 0.500

Electronic total energy ... -1.98 eV/atom
Energy above the lowest structure with this stoichiometry ... 0 meV/atom
Energy relative to the elements, uncorrected ... -173 meV/atom



18.
SbPtI2F: optimized geometry, PBE.

a = 5.662 Å, b = 5.662 Å, c = 4.189 Å
α = 90.00°, β = 90.00°, γ = 90.00°
Positions (direct):
Sb 0.000 0.000 0.000
Pt 0.500 0.500 0.000
I 0.000 0.500 0.500
I 0.500 0.000 0.500
F 0.000 0.000 0.500

Electronic total energy ... -2.69 eV/atom
Energy above the lowest structure with this stoichiometry ... 265 meV/atom
Energy relative to the elements, uncorrected ... 339 meV/atom



19.
Sr2NiSb4Ir3: optimized geometry, PBE.

a = 4.622 Å, b = 4.622 Å, c = 10.527 Å
α = 90.00°, β = 90.00°, γ = 90.00°
Positions (direct):
Sr 0.000 0.500 0.245
Sr 0.500 0.000 0.755
Ni 0.500 0.500 0.000
Sb 0.000 0.000 0.500
Sb 0.000 0.500 0.876
Sb 0.500 0.000 0.124
Sb 0.500 0.500 0.500
Ir 0.000 0.000 0.000
Ir 0.000 0.500 0.624
Ir 0.500 0.000 0.376

Electronic total energy ... -5.73 eV/atom
Energy relative to the elements, uncorrected ... -505 meV/atom



20.
Hf6ZnCo5: optimized geometry, PBE.

a = 7.767 Å, b = 7.767 Å, c = 7.767 Å
α = 146.53°, β = 131.11°, γ = 60.55°
Positions (direct):
Hf 0.076 0.330 0.746
Hf 0.242 0.000 0.242
Hf 0.416 0.670 0.746
Hf 0.584 0.330 0.254
Hf 0.758 0.000 0.758
Hf 0.924 0.670 0.254
Zn 0.500 0.500 0.000
Co 0.000 0.500 0.500
Co 0.170 0.170 0.000
Co 0.337 0.837 0.500
Co 0.663 0.163 0.500
Co 0.830 0.830 0.000

Electronic total energy ... -8.38 eV/atom
ΔH_f (0 K) ... -0.339 eV per atom



21.
ScAlCdN2: optimized geometry, PBE.

a = 4.207 Å, b = 4.207 Å, c = 5.339 Å
α = 90.00°, β = 90.00°, γ = 90.00°
Positions (direct):
Sc 0.000 0.000 0.000
Al 0.500 0.500 0.000
Cd 0.000 0.000 0.500
N 0.000 0.500 0.500
N 0.500 0.000 0.500

Electronic total energy ... -3.84 eV/atom
Energy relative to the elements, uncorrected ... 1686 meV/atom



22.
La3NbN4: optimized geometry, PBE.

a = 7.996 Å, b = 7.103 Å, c = 5.456 Å
α = 90.00°, β = 90.00°, γ = 90.00°
Positions (direct):
La 0.000 0.156 0.000
La 0.248 0.340 0.504
La 0.252 0.660 0.004
La 0.500 0.844 0.500
La 0.748 0.660 0.004
La 0.752 0.340 0.504
Nb 0.000 0.830 0.456
Nb 0.500 0.170 0.956
N 0.000 0.113 0.509
N 0.000 0.831 0.096
N 0.218 0.695 0.507
N 0.282 0.305 0.007
N 0.500 0.169 0.596
N 0.500 0.887 0.009
N 0.718 0.305 0.007
N 0.782 0.695 0.507

Electronic total energy ... -8.48 eV/atom
Energy relative to the elements, uncorrected ... -1213 meV/atom



23.
KAlI2N: optimized geometry, PBE.

a = 6.258 Å, b = 6.258 Å, c = 3.546 Å
α = 90.00°, β = 90.00°, γ = 90.00°
Positions (direct):
K 0.000 0.000 0.000
Al 0.500 0.500 0.500
I 0.000 0.500 0.500
I 0.500 0.000 0.500
N 0.500 0.500 0.000

Electronic total energy ... -3.65 eV/atom
Energy above the lowest structure with this stoichiometry ... 0 meV/atom
Energy relative to the elements, uncorrected ... -400 meV/atom